# Rb2HoMnS4 (GGA-PBE, optimized geometry)
data_Rb2HoMnS4
_symmetry_space_group_name_H-M 'I m m a'
_symmetry_Int_Tables_number 74
_symmetry_space_group_name_Hall '-I 2b 2'
_cell_length_a 8.087
_cell_length_b 8.279
_cell_length_c 12.207
_cell_angle_alpha 90.00
_cell_angle_beta 90.00
_cell_angle_gamma 90.00
loop_
_atom_site_label
_atom_site_fract_x
_atom_site_fract_y
_atom_site_fract_z
_atom_site_occupancy
Rb1 0.000 0.000 0.000 1
Rb2 0.250 0.250 0.250 1
Ho1 0.000 0.000 0.500 1
Mn1 0.250 0.250 0.750 1
S1 0.000 0.067 0.735 1
S2 0.215 0.250 0.511 1
# formation energy from raw total energies = -111.8 kJ/mol of atoms
# mass density = 4.22 g/cm3
# crystal system = orthorhombic